# 1
# KSc2Cd (GGA-PBE, relaxed)
data_KSc2Cd
_space_group_name_H-M_alt 'P 1'
_space_group_IT_number 1
_space_group_name_Hall 'P 1'
_cell_length_a 3.4321
_cell_length_b 3.4340
_cell_length_c 10.6973
_cell_angle_alpha 71.36
_cell_angle_beta 90.00
_cell_angle_gamma 90.00
loop_
_atom_site_label
_atom_site_fract_x
_atom_site_fract_y
_atom_site_fract_z
_atom_site_occupancy
Cd1 0.0000 0.5527 0.4474 1
K1 0.5000 0.7761 0.7262 1
Sc1 0.0000 0.9371 0.0612 1
Sc2 0.5000 0.2340 0.2652 1
# ΔH_f (0 K) = 0.119 eV per atom
# energy = -14.2 eV per cell

# 2
# Pm5Sb5N (GGA-PBE, relaxed)
data_Pm5Sb5N
_space_group_name_H-M_alt 'P 1'
_space_group_IT_number 1
_space_group_name_Hall 'P 1'
_cell_length_a 6.1374
_cell_length_b 7.1627
_cell_length_c 9.4180
_cell_angle_alpha 115.51
_cell_angle_beta 90.00
_cell_angle_gamma 115.37
loop_
_atom_site_label
_atom_site_fract_x
_atom_site_fract_y
_atom_site_fract_z
_atom_site_occupancy
Pm1 0.8575 0.7149 0.1146 1
Pm2 0.8329 0.6657 0.7169 1
Pm3 0.5000 0.0000 0.0000 1
Pm4 0.1671 0.3343 0.2831 1
Pm5 0.1425 0.2851 0.8854 1
Sb1 0.7260 0.4519 0.3358 1
Sb2 0.6154 0.2308 0.7810 1
Sb3 0.0000 0.0000 0.5000 1
Sb4 0.3846 0.7692 0.2190 1
Sb5 0.2740 0.5481 0.6642 1
N1 0.0000 0.0000 0.0000 1
# energy = -61.6 eV per cell